No. 1
Below is a relaxed AlRuN2O crystal, with properties calculated at the PBE level.

a = 3.772 Å, b = 3.772 Å, c = 4.177 Å
α = 90.00°, β = 90.00°, γ = 90.00°
Positions (direct):
Al 0.000 0.000 0.000
Ru 0.500 0.500 0.500
N 0.000 0.500 0.500
N 0.500 0.000 0.500
O 0.500 0.500 0.000

Computed properties:
The space-group type is P4/mmm, No. 123.

No. 2
Below is a relaxed AlS2NO8 crystal, with properties calculated at the PBE level.

a = 5.030 Å, b = 5.030 Å, c = 8.324 Å
α = 90.00°, β = 90.00°, γ = 120.00°
Positions (direct):
Al 0.000 0.000 0.000
S 0.333 0.667 0.196
S 0.667 0.333 0.804
N 0.000 0.000 0.500
O 0.174 0.348 0.133
O 0.174 0.826 0.133
O 0.333 0.667 0.370
O 0.348 0.174 0.867
O 0.652 0.826 0.133
O 0.667 0.333 0.630
O 0.826 0.174 0.867
O 0.826 0.652 0.867

Computed properties:
The space-group type is P-3m1, No. 164.

No. 3
Below is a relaxed AlSbN2O crystal, with properties calculated at the PBE level.

a = 3.884 Å, b = 3.884 Å, c = 3.669 Å
α = 90.00°, β = 90.00°, γ = 90.00°
Positions (direct):
Al 0.000 0.000 0.000
Sb 0.500 0.500 0.500
N 0.000 0.500 0.000
N 0.500 0.000 0.000
O 0.000 0.000 0.500

Computed properties:
The space-group type is P4/mmm, No. 123.

No. 4
Below is a relaxed AlSbN2O crystal, with properties calculated at the PBE level.

a = 4.047 Å, b = 4.047 Å, c = 3.880 Å
α = 90.00°, β = 90.00°, γ = 90.00°
Positions (direct):
Al 0.000 0.000 0.000
Sb 0.500 0.500 0.500
N 0.000 0.500 0.500
N 0.500 0.000 0.500
O 0.500 0.500 0.000

Computed properties:
The space-group type is P4/mmm, No. 123.

No. 5
Below is a relaxed ScAlN2O crystal, with properties calculated at the PBE level.

a = 4.188 Å, b = 4.188 Å, c = 3.943 Å
α = 90.00°, β = 90.00°, γ = 90.00°
Positions (direct):
Sc 0.000 0.000 0.000
Al 0.500 0.500 0.500
N 0.000 0.500 0.000
N 0.500 0.000 0.000
O 0.000 0.000 0.500

Computed properties:
The space-group type is P4/mmm, No. 123.

No. 6
Below is a relaxed ScAlN2O crystal, with properties calculated at the PBE level.

a = 3.718 Å, b = 3.718 Å, c = 3.713 Å
α = 90.00°, β = 90.00°, γ = 90.00°
Positions (direct):
Sc 0.000 0.000 0.000
Al 0.500 0.500 0.500
N 0.000 0.500 0.500
N 0.500 0.000 0.500
O 0.500 0.500 0.000

Computed properties:
The space-group type is P4/mmm, No. 123.

No. 7
Below is a relaxed AlSeNO2 crystal, with properties calculated at the PBE level.

a = 3.767 Å, b = 3.767 Å, c = 4.083 Å
α = 90.00°, β = 90.00°, γ = 90.00°
Positions (direct):
Al 0.000 0.000 0.000
Se 0.500 0.500 0.500
N 0.500 0.500 0.000
O 0.000 0.500 0.500
O 0.500 0.000 0.500

Computed properties:
The space-group type is P4/mmm, No. 123.

No. 8
Below is a relaxed AlSe2NO8 crystal, with properties calculated at the PBE level.

a = 5.198 Å, b = 5.198 Å, c = 8.559 Å
α = 90.00°, β = 90.00°, γ = 120.00°
Positions (direct):
Al 0.000 0.000 0.000
Se 0.333 0.667 0.204
Se 0.667 0.333 0.796
N 0.000 0.000 0.500
O 0.102 0.324 0.138
O 0.222 0.898 0.138
O 0.324 0.102 0.862
O 0.333 0.667 0.396
O 0.667 0.333 0.604
O 0.676 0.778 0.138
O 0.778 0.676 0.862
O 0.898 0.222 0.862

Computed properties:
The space-group type is P321, No. 150.

No. 9
Below is a relaxed AlSeNO2 crystal, with properties calculated at the PBE level.

a = 3.603 Å, b = 3.603 Å, c = 4.049 Å
α = 90.00°, β = 90.00°, γ = 90.00°
Positions (direct):
Al 0.000 0.000 0.000
Se 0.500 0.500 0.500
N 0.000 0.000 0.500
O 0.000 0.500 0.000
O 0.500 0.000 0.000

Computed properties:
The space-group type is P4/mmm, No. 123.

No. 10
Below is a relaxed AlSiN2O crystal, with properties calculated at the PBE level.

a = 3.627 Å, b = 3.627 Å, c = 3.442 Å
α = 90.00°, β = 90.00°, γ = 90.00°
Positions (direct):
Al 0.000 0.000 0.000
Si 0.500 0.500 0.500
N 0.000 0.500 0.500
N 0.500 0.000 0.500
O 0.500 0.500 0.000

Computed properties:
The space-group type is P4/mmm, No. 123.

No. 11
Below is a relaxed AlSiN2O crystal, with properties calculated at the PBE level.

a = 3.822 Å, b = 3.822 Å, c = 3.560 Å
α = 90.00°, β = 90.00°, γ = 90.00°
Positions (direct):
Al 0.000 0.000 0.000
Si 0.500 0.500 0.500
N 0.000 0.500 0.000
N 0.500 0.000 0.000
O 0.000 0.000 0.500

Computed properties:
The space-group type is P4/mmm, No. 123.

No. 12
Below is a relaxed SrAl2SiN2O3 crystal, with properties calculated at the PBE level.

a = 4.978 Å, b = 8.127 Å, c = 11.440 Å
α = 90.00°, β = 90.00°, γ = 90.00°
Positions (direct):
Sr 0.013 0.040 0.163
Sr 0.487 0.960 0.663
Sr 0.513 0.460 0.837
Sr 0.987 0.540 0.337
Al 0.001 0.164 0.839
Al 0.012 0.471 0.043
Al 0.488 0.529 0.543
Al 0.499 0.836 0.339
Al 0.501 0.336 0.161
Al 0.512 0.029 0.957
Al 0.988 0.971 0.457
Al 0.999 0.664 0.661
Si 0.004 0.298 0.575
Si 0.496 0.702 0.075
Si 0.504 0.202 0.425
Si 0.996 0.798 0.925
N 0.166 0.982 0.906
N 0.206 0.658 0.994
N 0.294 0.342 0.494
N 0.334 0.018 0.406
N 0.666 0.518 0.094
N 0.706 0.842 0.006
N 0.794 0.158 0.506
N 0.834 0.482 0.594
O 0.047 0.348 0.916
O 0.123 0.207 0.696
O 0.149 0.368 0.167
O 0.351 0.632 0.667
O 0.377 0.793 0.196
O 0.453 0.652 0.416
O 0.547 0.152 0.084
O 0.623 0.293 0.304
O 0.649 0.132 0.833
O 0.851 0.868 0.333
O 0.877 0.707 0.804
O 0.953 0.848 0.584

Computed properties:
The space-group type is P2_12_12_1, No. 19.

For reference, density by record: 4.81; 2.12; 5.78; 5.04; 2.78; 3.75; 4.36; 2.71; 4.80; 3.63; 3.16; 3.53 Mg/m³.
For reference, formation energy without anion corrections by record: 0.508; -0.959; -0.005; 0.578; 0.181; -0.913; 0.318; -0.382; -0.286; -0.283; 0.384; -2.313 eV per atom.
For reference, total DFT energy (no corrections) by record: -32.09; -71.50; -29.50; -26.59; -30.78; -36.25; -23.88; -63.29; -26.90; -32.19; -28.85; -66.94 eV per formula unit.